! PBE YGaFeAu, optimized geometry; values from VASP
&SYSTEM
  ibrav = 0, nat = 16, ntyp = 4
/
ATOMIC_SPECIES
Y 88.91 Y.upf
Ga 69.72 Ga.upf
Fe 55.84 Fe.upf
Au 196.97 Au.upf
CELL_PARAMETERS angstrom
6.658 0.000 0.000
0.000 6.658 0.000
0.000 0.000 6.658
ATOMIC_POSITIONS crystal
Y 0.000 0.000 0.000
Y 0.000 0.500 0.500
Y 0.500 0.000 0.500
Y 0.500 0.500 0.000
Ga 0.000 0.000 0.500
Ga 0.000 0.500 0.000
Ga 0.500 0.000 0.000
Ga 0.500 0.500 0.500
Fe 0.250 0.250 0.750
Fe 0.250 0.750 0.250
Fe 0.750 0.250 0.250
Fe 0.750 0.750 0.750
Au 0.250 0.250 0.250
Au 0.250 0.750 0.750
Au 0.750 0.250 0.750
Au 0.750 0.750 0.250
! Polymorph energy (0 for the lowest one) = 0.18 eV/f.u.
! Calculated density = 9.260 g/cm3
! Total DFT energy (no corrections) = -5.45 eV/atom

! PBE BeNiAgBi, optimized geometry; values from VASP
&SYSTEM
  ibrav = 0, nat = 16, ntyp = 4
/
ATOMIC_SPECIES
Be 9.01 Be.upf
Ni 58.69 Ni.upf
Ag 107.87 Ag.upf
Bi 208.98 Bi.upf
CELL_PARAMETERS angstrom
6.505 0.000 0.000
0.000 6.505 0.000
0.000 0.000 6.505
ATOMIC_POSITIONS crystal
Be 0.000 0.000 0.000
Be 0.000 0.500 0.500
Be 0.500 0.000 0.500
Be 0.500 0.500 0.000
Ni 0.250 0.250 0.250
Ni 0.250 0.750 0.750
Ni 0.750 0.250 0.750
Ni 0.750 0.750 0.250
Ag 0.250 0.250 0.750
Ag 0.250 0.750 0.250
Ag 0.750 0.250 0.250
Ag 0.750 0.750 0.750
Bi 0.000 0.000 0.500
Bi 0.000 0.500 0.000
Bi 0.500 0.000 0.000
Bi 0.500 0.500 0.500
! Polymorph energy (0 for the lowest one) = 0.21 eV/f.u.
! Calculated density = 9.279 g/cm3
! Total DFT energy (no corrections) = -3.57 eV/atom

! PBE Ag2Pb2O5, optimized geometry; values from VASP
&SYSTEM
  ibrav = 0, nat = 9, ntyp = 3
/
ATOMIC_SPECIES
Ag 107.87 Ag.upf
Pb 207.20 Pb.upf
O 16.00 O.upf
CELL_PARAMETERS angstrom
4.104 0.000 0.000
0.000 4.104 0.000
0.000 0.000 8.388
ATOMIC_POSITIONS crystal
Ag 0.000 0.000 0.000
Ag 0.000 0.000 0.500
Pb 0.500 0.500 0.245
Pb 0.500 0.500 0.755
O 0.000 0.500 0.177
O 0.000 0.500 0.823
O 0.500 0.000 0.177
O 0.500 0.000 0.823
O 0.500 0.500 0.500
! Polymorph energy (0 for the lowest one) = 0.00 eV/f.u.
! Calculated density = 8.345 g/cm3
! Total DFT energy (no corrections) = -4.51 eV/atom

! PBE Hf2ScPb, optimized geometry; values from VASP
&SYSTEM
  ibrav = 0, nat = 16, ntyp = 3
/
ATOMIC_SPECIES
Hf 178.49 Hf.upf
Sc 44.96 Sc.upf
Pb 207.20 Pb.upf
CELL_PARAMETERS angstrom
7.098 0.000 0.000
0.000 7.098 0.000
0.000 0.000 7.098
ATOMIC_POSITIONS crystal
Hf 0.000 0.000 0.000
Hf 0.000 0.500 0.500
Hf 0.250 0.250 0.250
Hf 0.250 0.750 0.750
Hf 0.500 0.000 0.500
Hf 0.500 0.500 0.000
Hf 0.750 0.250 0.750
Hf 0.750 0.750 0.250
Sc 0.250 0.250 0.750
Sc 0.250 0.750 0.250
Sc 0.750 0.250 0.250
Sc 0.750 0.750 0.750
Pb 0.000 0.000 0.500
Pb 0.000 0.500 0.000
Pb 0.500 0.000 0.000
Pb 0.500 0.500 0.500
! Calculated density = 11.313 g/cm3
! Total DFT energy (no corrections) = -7.39 eV/atom

! PBE Be2CoPt, optimized geometry; values from VASP
&SYSTEM
  ibrav = 0, nat = 16, ntyp = 3
/
ATOMIC_SPECIES
Be 9.01 Be.upf
Co 58.93 Co.upf
Pt 195.08 Pt.upf
CELL_PARAMETERS angstrom
5.439 0.000 0.000
0.000 5.439 0.000
0.000 0.000 5.439
ATOMIC_POSITIONS crystal
Be 0.250 0.250 0.250
Be 0.250 0.250 0.750
Be 0.250 0.750 0.250
Be 0.250 0.750 0.750
Be 0.750 0.250 0.250
Be 0.750 0.250 0.750
Be 0.750 0.750 0.250
Be 0.750 0.750 0.750
Co 0.000 0.000 0.000
Co 0.000 0.500 0.500
Co 0.500 0.000 0.500
Co 0.500 0.500 0.000
Pt 0.000 0.000 0.500
Pt 0.000 0.500 0.000
Pt 0.500 0.000 0.000
Pt 0.500 0.500 0.500
! Polymorph energy (0 for the lowest one) = 0.00 eV/f.u.
! Calculated density = 11.231 g/cm3
! Total DFT energy (no corrections) = -5.76 eV/atom

! PBE CsTbNiSe3, optimized geometry; values from VASP
&SYSTEM
  ibrav = 0, nat = 24, ntyp = 4
/
ATOMIC_SPECIES
Cs 132.91 Cs.upf
Tb 158.93 Tb.upf
Ni 58.69 Ni.upf
Se 78.96 Se.upf
CELL_PARAMETERS angstrom
10.707 0.000 0.000
0.000 4.193 0.000
0.000 0.000 15.197
ATOMIC_POSITIONS crystal
Cs 0.034 0.250 0.160
Cs 0.466 0.750 0.660
Cs 0.534 0.250 0.340
Cs 0.966 0.750 0.840
Tb 0.148 0.750 0.435
Tb 0.352 0.250 0.935
Tb 0.648 0.750 0.065
Tb 0.852 0.250 0.565
Ni 0.149 0.250 0.630
Ni 0.351 0.750 0.130
Ni 0.649 0.250 0.870
Ni 0.851 0.750 0.370
Se 0.039 0.750 0.611
Se 0.207 0.750 0.006
Se 0.233 0.250 0.771
Se 0.267 0.750 0.271
Se 0.293 0.250 0.506
Se 0.461 0.250 0.111
Se 0.539 0.750 0.889
Se 0.707 0.750 0.494
Se 0.733 0.250 0.729
Se 0.767 0.750 0.229
Se 0.793 0.250 0.994
Se 0.961 0.250 0.389
! Polymorph energy (0 for the lowest one) = 0.61 eV/f.u.
! Calculated density = 5.719 g/cm3
! Total DFT energy (no corrections) = -4.69 eV/atom